Computed, not measured: a PBEsol-optimized structure of KPb at the meta-GGA SCAN level of DFT.

Calculated values
Offset from the most stable computed form ... 250 meV per atom
VASP energy ... -1.5512 Ha/atom
Crystal system ... tetragonal
ΔH_f (0 K) ... -0.15 eV/atom

Lattice parameters (Å, degrees): 4.0094 4.0094 10.1829 90.00 90.00 90.00
Element x y z (fractional)
K1 0.2500 0.2500 0.1936
K2 0.7500 0.7500 0.8064
Pb1 0.2500 0.2500 0.5763
Pb2 0.7500 0.7500 0.4237